Entry 1:
Here is K2LaP after structural relaxation from Alexandria. Energies are from PBEsol.

Energy of formation, eV/f.u.: -0.33

abc: 4.482 4.482 6.413
angles: 90.00 90.00 94.98
Fractional positions:
K 0.214 0.786 0.000
K 0.786 0.214 0.000
La 0.500 0.500 0.500
P 0.000 0.000 0.500



Entry 2:
Here is Na4CoMo3O12 after structural relaxation from Alexandria. Energies are from PBEsol.

Raw formation energy, meV per atom: -1885

abc: 9.156 9.156 7.110
angles: 104.73 104.73 94.17
Fractional positions:
Na 0.000 0.000 0.000
Na 0.000 0.000 0.500
Na 0.074 0.349 0.879
Na 0.285 0.715 0.500
Na 0.508 0.483 0.251
Na 0.517 0.492 0.749
Na 0.651 0.926 0.121
Na 0.747 0.253 0.000
Co 0.399 0.033 0.380
Co 0.967 0.601 0.620
Mo 0.145 0.319 0.382
Mo 0.294 0.706 0.000
Mo 0.356 0.101 0.869
Mo 0.681 0.855 0.618
Mo 0.730 0.270 0.500
Mo 0.899 0.644 0.131
O 0.017 0.613 0.355
O 0.019 0.285 0.139
O 0.053 0.392 0.573
O 0.159 0.114 0.823
O 0.167 0.725 0.769
O 0.200 0.136 0.393
O 0.275 0.833 0.231
O 0.277 0.525 0.032
O 0.310 0.447 0.425
O 0.387 0.983 0.645
O 0.408 0.027 0.080
O 0.467 0.281 0.934
O 0.475 0.723 0.968
O 0.531 0.235 0.482
O 0.553 0.690 0.575
O 0.608 0.947 0.427
O 0.715 0.981 0.861
O 0.719 0.533 0.066
O 0.765 0.469 0.518
O 0.775 0.165 0.285
O 0.835 0.225 0.715
O 0.864 0.800 0.607
O 0.886 0.841 0.177
O 0.973 0.592 0.920